[1]
# V4IrPt3

A relaxed structure of V4IrPt3 (GGA-PBE, Alexandria via LeMat-Bulk).

a = 2.6951 Å, b = 4.6474 Å, c = 9.3701 Å
α = 90.00°, β = 90.00°, γ = 90.00°
Closest atoms and distances in Å follow each position.
Space group Pmmm (No. 47)
Inequivalent atoms, fractional coordinates:
V1 0.0000 0.0000 0.0000 [1 per cell]  4 Ir 2.69, 2 V 2.70, 4 Pt 2.76
V2 0.0000 0.0000 0.5000 [1 per cell]  8 Pt 2.64-2.69, 2 V 2.70
V3 0.0000 0.5000 0.2392 [2 per cell]  2 Ir 2.62, 6 Pt 2.69-2.79, 2 V 2.70
Ir1 0.5000 0.5000 0.0000 [1 per cell]  8 V 2.62-2.69, 2 Ir 2.70
Pt1 0.5000 0.0000 0.2574 [2 per cell]  8 V 2.64-2.76, 2 Pt 2.70
Pt2 0.5000 0.5000 0.5000 [1 per cell]  8 V 2.69-2.79, 2 Pt 2.70

Computed properties:
The calculation puts the formation energy at -2.69 eV per formula unit. The mass density comes out at 13.883 g/cm3.

=====

[2]
# V3Ir2Pt3

A relaxed structure of V3Ir2Pt3 (GGA-PBE, Alexandria via LeMat-Bulk).

a = 3.8588 Å, b = 3.9026 Å, c = 15.3395 Å
α = 90.00°, β = 90.00°, γ = 90.00°
Closest atoms and distances in Å follow each position.
Space group Immm (No. 71)
Inequivalent atoms, fractional coordinates:
V1 0.0000 0.0000 0.0000 [2 per cell]  8 Pt 2.67-2.74, 4 V 2.82
V2 0.0000 0.5000 0.1329 [4 per cell]  4 Ir 2.59-2.69, 6 Pt 2.75-2.81, 2 V 2.82
Ir1 0.0000 0.0000 0.2540 [4 per cell]  4 V 2.59-2.69, 4 Pt 2.74-2.81, 4 Ir 2.75
Pt1 0.0000 0.0000 0.5000 [2 per cell]  4 Pt 2.69, 8 V 2.74-2.81
Pt2 0.0000 0.5000 0.3795 [4 per cell]  6 V 2.67-2.75, 2 Pt 2.69, 4 Ir 2.74-2.81

Computed properties:
The calculation puts the formation energy at -3.98 eV per formula unit. The mass density comes out at 16.138 g/cm3.

=====

[3]
# V4Ir3Pt

A relaxed structure of V4Ir3Pt (GGA-PBE, Alexandria via LeMat-Bulk).

a = 3.7294 Å, b = 3.8864 Å, c = 7.7412 Å
α = 90.00°, β = 90.00°, γ = 90.00°
Closest atoms and distances in Å follow each position.
Space group Pmmm (No. 47)
Inequivalent atoms, fractional coordinates:
V1 0.0000 0.0000 0.0000 [1 per cell]  8 Ir 2.69, 4 V 2.71
V2 0.0000 0.0000 0.5000 [1 per cell]  4 Ir 2.68, 4 Pt 2.69, 4 V 2.78
V3 0.0000 0.5000 0.2440 [2 per cell]  6 Ir 2.65-2.69, 4 V 2.71-2.78, 2 Pt 2.72
Ir1 0.5000 0.0000 0.2512 [2 per cell]  8 V 2.68-2.69, 2 Pt 2.74, 2 Ir 2.75
Ir2 0.5000 0.5000 0.0000 [1 per cell]  8 V 2.65-2.69, 4 Ir 2.75
Pt1 0.5000 0.5000 0.5000 [1 per cell]  8 V 2.69-2.72, 4 Ir 2.74

Computed properties:
The calculation puts the formation energy at -4.18 eV per formula unit. The mass density comes out at 14.437 g/cm3.

=====

[4]
# VIr2PtW

A relaxed structure of VIr2PtW (GGA-PBE, Alexandria via LeMat-Bulk).

a = 4.4647 Å, b = 4.4647 Å, c = 4.4862 Å
α = 90.00°, β = 90.00°, γ = 90.00°
Closest atoms and distances in Å follow each position.
Space group P4/mmm (No. 123)
Inequivalent atoms, fractional coordinates:
V1 0.0000 0.0000 0.0000 [1 per cell]  4 Ir 2.23, 2 W 2.24
Ir1 0.0000 0.5000 0.0000 [2 per cell]  2 V 2.23
Pt1 0.5000 0.5000 0.5000 [1 per cell]  4 W 3.16, 8 Ir 3.16
W1 0.0000 0.0000 0.5000 [1 per cell]  2 V 2.24

Computed properties:
The calculation puts the formation energy at 6.86 eV per formula unit. The mass density comes out at 15.120 g/cm3.

=====

[5]
# VZnIrPt

A relaxed structure of VZnIrPt (GGA-PBE, Alexandria via LeMat-Bulk).

a = 2.8037 Å, b = 2.8037 Å, c = 7.2659 Å
α = 90.00°, β = 90.00°, γ = 90.00°
Closest atoms and distances in Å follow each position.
Space group P4mm (No. 99)
Inequivalent atoms, fractional coordinates:
V1 0.0000 0.0000 0.0000 [1 per cell]  4 Ir 2.60, 4 Pt 2.72, 4 V 2.80
Zn1 0.0000 0.0000 0.5142 [1 per cell]  4 Ir 2.71, 4 Pt 2.73, 4 Zn 2.80
Ir1 0.5000 0.5000 0.7686 [1 per cell]  4 V 2.60, 4 Zn 2.71, 4 Ir 2.80
Pt1 0.5000 0.5000 0.2558 [1 per cell]  4 V 2.72, 4 Zn 2.73, 4 Pt 2.80

Computed properties:
The calculation puts the formation energy at -2.04 eV per formula unit. The mass density comes out at 14.643 g/cm3.

=====

[6]
# VZn2IrPt

A relaxed structure of VZn2IrPt (GGA-PBE, Alexandria via LeMat-Bulk).

a = 4.6147 Å, b = 4.6147 Å, c = 4.9475 Å
α = 90.00°, β = 90.00°, γ = 90.00°
Closest atoms and distances in Å follow each position.
Space group P4/mmm (No. 123)
Inequivalent atoms, fractional coordinates:
V1 0.0000 0.0000 0.0000 [1 per cell]  4 Ir 3.26, 8 Zn 3.38
Zn1 0.0000 0.5000 0.5000 [2 per cell]  2 Pt 2.31
Ir1 0.5000 0.5000 0.0000 [1 per cell]  2 Pt 2.47
Pt1 0.5000 0.5000 0.5000 [1 per cell]  4 Zn 2.31, 2 Ir 2.47

Computed properties:
The calculation puts the formation energy at 5.66 eV per formula unit. The mass density comes out at 8.969 g/cm3.